Computed, not measured: an optimized crystal structure of Rb3Ce3HoO8 at the PBE level of DFT.

a b c (Å): 7.1893 7.1892 7.8253
angles (deg): 117.31 90.01 120.00
Closest atoms and distances in Å follow each position.
Fractional positions:
Rb1 0.0000 0.0000 0.0000  6 O 2.99-3.02
Rb2 0.0000 0.5000 0.0000  6 O 2.98-3.03
Rb3 0.5000 0.5000 0.0000  6 O 2.98-3.03
Ce1 0.5000 0.0000 0.5000  6 O 2.37-2.38
Ce2 0.5000 0.5000 0.5000  6 O 2.37-2.38
Ce3 0.0000 0.5000 0.5000  6 O 2.37-2.38
Ho1 0.0000 0.0000 0.5000  6 O 2.30
O1 0.2744 0.5490 0.3233  3 Ce 2.38
O2 0.7256 0.4510 0.6767  3 Ce 2.38
O3 0.7824 0.5649 0.3351  1 Ho 2.30, 2 Ce 2.37
O4 0.2176 0.4351 0.6649  1 Ho 2.30, 2 Ce 2.37
O5 0.7824 0.0528 0.3351  1 Ho 2.30, 2 Ce 2.37
O6 0.2176 0.9472 0.6649  1 Ho 2.30, 2 Ce 2.37
O7 0.2703 0.0528 0.3351  1 Ho 2.30, 2 Ce 2.37
O8 0.7297 0.9472 0.6649  1 Ho 2.30, 2 Ce 2.37

Results
The spin magnetization is 2.01 μB/cell. As for the space-group type: R-3m, No. 166. The value obtained for the density of states at the Fermi level is 9.3 states/eV/cell.

Computed, not measured: an optimized crystal structure of CeHoS2O at the PBE level of DFT.

a b c (Å): 3.8848 3.8848 13.7041
angles (deg): 90.00 90.00 90.00
Closest atoms and distances in Å follow each position.
Fractional positions:
Ce1 0.5000 0.0000 0.5939  4 O 2.33
Ce2 0.0000 0.5000 0.4061  4 O 2.33
Ho1 0.5000 0.0000 0.1158  6 S 2.58-2.87
Ho2 0.0000 0.5000 0.8842  6 S 2.58-2.87
S1 0.0000 0.5000 0.6956  1 Ho 2.58
S2 0.0000 0.5000 0.0936  5 Ho 2.76-2.87
S3 0.5000 0.0000 0.9064  5 Ho 2.76-2.87
S4 0.5000 0.0000 0.3044  1 Ho 2.58
O1 0.0000 0.0000 0.5000  4 Ce 2.33
O2 0.5000 0.5000 0.5000  4 Ce 2.33

Results
The spin magnetization is 1.46 μB/cell. As for the space-group type: P4/nmm, No. 129. The value obtained for the density of states at the Fermi level is 12.8 states/eV/cell.

Computed, not measured: an optimized crystal structure of CeHoSO2 at the PBE level of DFT.

a b c (Å): 3.8181 3.8181 6.6122
angles (deg): 106.78 106.78 90.00
Closest atoms and distances in Å follow each position.
Fractional positions:
Ce1 0.8538 0.8538 0.7075  4 O 2.31
Ho1 0.1527 0.1527 0.3053  4 O 2.22
S1 0.5016 0.5016 0.0032  4 Ce 3.24, 4 Ho 3.26, 4 O 3.51
O1 0.7460 0.2460 0.4920  2 Ho 2.22, 2 Ce 2.31
O2 0.2460 0.7460 0.4920  2 Ho 2.22, 2 Ce 2.31

Results
The spin magnetization is 1.00 μB/cell. As for the space-group type: I4mm, No. 107. The value obtained for the density of states at the Fermi level is 5.6 states/eV/cell.

Computed, not measured: an optimized crystal structure of CeHoSbO2 at the PBE level of DFT.

a b c (Å): 3.9219 3.9219 7.0080
angles (deg): 106.25 106.25 90.00
Closest atoms and distances in Å follow each position.
Fractional positions:
Ce1 0.8417 0.8417 0.6833  4 O 2.30
Ho1 0.1610 0.1610 0.3221  4 O 2.26
Sb1 0.5011 0.5011 0.0022  4 Ce 3.45, 4 Ho 3.45, 8 O 3.74-3.80
O1 0.7481 0.2481 0.4962  2 Ho 2.26, 2 Ce 2.30
O2 0.2481 0.7481 0.4962  2 Ho 2.26, 2 Ce 2.30

Results
The spin magnetization is 0.50 μB/cell. As for the space-group type: I4mm, No. 107. The value obtained for the density of states at the Fermi level is 4.2 states/eV/cell.

Computed, not measured: an optimized crystal structure of CeHoSbO6 at the PBE level of DFT.

a b c (Å): 5.5563 5.5563 9.5969
angles (deg): 90.00 90.00 120.00
Closest atoms and distances in Å follow each position.
Fractional positions:
Ce1 0.0000 0.0000 0.0000  6 O 2.30
Ce2 0.0000 0.0000 0.5000  6 O 2.30
Ho1 0.3333 0.6667 0.2500  6 O 2.26
Ho2 0.6667 0.3333 0.7500  6 O 2.26
Sb1 0.6667 0.3333 0.2500  6 O 2.02
Sb2 0.3333 0.6667 0.7500  6 O 2.02
O1 0.6733 0.6398 0.1333  1 Sb 2.02, 1 Ho 2.26
O2 0.9665 0.3267 0.1333  1 Sb 2.02, 1 Ho 2.26
O3 0.3267 0.9665 0.6333  1 Sb 2.02, 1 Ho 2.26
O4 0.0335 0.6733 0.8667  1 Sb 2.02, 1 Ho 2.26
O5 0.3602 0.3267 0.3667  1 Sb 2.02, 1 Ho 2.26
O6 0.9665 0.6398 0.3667  1 Sb 2.02, 1 Ho 2.26
O7 0.6398 0.9665 0.8667  1 Sb 2.02, 1 Ho 2.26
O8 0.6733 0.0335 0.3667  1 Sb 2.02, 1 Ho 2.26
O9 0.0335 0.3602 0.6333  1 Sb 2.02, 1 Ho 2.26
O10 0.3602 0.0335 0.1333  1 Sb 2.02, 1 Ho 2.26
O11 0.6398 0.6733 0.6333  1 Sb 2.02, 1 Ho 2.26
O12 0.3267 0.3602 0.8667  1 Sb 2.02, 1 Ho 2.26

Results
The spin magnetization is 0.00 μB/cell. As for the space-group type: P-31c, No. 163.

Computed, not measured: an optimized crystal structure of CeHoSeO2 at the PBE level of DFT.

a b c (Å): 3.8775 3.8775 6.7260
angles (deg): 106.75 106.75 90.00
Closest atoms and distances in Å follow each position.
Fractional positions:
Ce1 0.1501 0.1501 0.3002  4 O 2.32
Ho1 0.8437 0.8437 0.6874  4 O 2.23
Se1 0.4980 0.4980 0.9959  4 Ce 3.32, 4 Ho 3.33, 8 O 3.57-3.70
O1 0.7541 0.2541 0.5082  2 Ho 2.23, 2 Ce 2.32
O2 0.2541 0.7541 0.5082  2 Ho 2.23, 2 Ce 2.32

Results
The spin magnetization is 1.00 μB/cell. As for the space-group type: I4mm, No. 107. The value obtained for the density of states at the Fermi level is 5.7 states/eV/cell.

| no. | V (Å³/atom) | electronic total energy (eV for the cell shown) |
| --- | --- | --- |
| 1 | 19.80 | -106.89 |
| 2 | 20.68 | -72.88 |
| 3 | 17.60 | -39.47 |
| 4 | 19.80 | -38.01 |
| 5 | 14.25 | -136.21 |
| 6 | 18.47 | -38.86 |